Entry from Alexandria: an optimized crystal structure of Ca12Sn5Pb2 (PBE).

Values from the calculation:
M_tot = 0.2 Bohr magnetons per cell
symmetry = C2/m
total DFT energy (no corrections) = -0.116 hartree per atom
calculated formation energy = -439 meV/atom

The structure in extended XYZ format:
```
19
Lattice="7.7108 0.0000 0.0000 -3.8554 8.5955 0.6880 0.0000 -2.2647 10.1633" Properties=species:S:1:pos:R:3 pbc="T T T"
Ca 3.8554 7.3833 2.5681
Ca -1.9111 3.4678 9.3341
Ca 1.9111 3.4678 9.3341
Ca -1.9180 5.0062 4.8699
Ca 1.9180 5.0062 4.8699
Ca 0.0000 6.6249 7.8650
Ca 3.8554 -0.2941 2.9863
Ca 5.7734 1.3247 5.9814
Ca 1.9374 1.3247 5.9814
Ca 5.7665 2.8630 1.5173
Ca 1.9442 2.8630 1.5173
Ca 0.0000 -1.0525 8.2832
Sn 0.0000 3.6154 6.9208
Sn 0.0000 5.5164 2.0188
Sn 0.0000 -1.1323 5.0817
Sn 3.8554 0.8144 8.8325
Sn 3.8554 2.7154 3.9305
Pb 5.3977 0.0000 0.0000
Pb 2.3130 0.0000 0.0000
```



Entry from Alexandria: an optimized crystal structure of Ca2Sn9Pb (PBE).

Values from the calculation:
M_tot = 0.0 Bohr magnetons per cell
symmetry = P4/mmm
total DFT energy (no corrections) = -0.142 hartree per atom
calculated formation energy = -223 meV/atom

The structure in extended XYZ format:
```
12
Lattice="4.7347 0.0000 0.0000 0.0000 4.7347 0.0000 0.0000 0.0000 14.7922" Properties=species:S:1:pos:R:3 pbc="T T T"
Ca 0.0000 0.0000 5.0774
Ca 0.0000 0.0000 9.7148
Sn 2.3673 2.3673 0.0000
Sn 2.3673 2.3673 4.9373
Sn 2.3673 2.3673 9.8549
Sn 2.3673 0.0000 2.5526
Sn 2.3673 0.0000 7.3961
Sn 2.3673 0.0000 12.2397
Sn 0.0000 2.3673 2.5526
Sn 0.0000 2.3673 7.3961
Sn 0.0000 2.3673 12.2397
Pb 0.0000 0.0000 0.0000
```



Which value of calculated formation energy does entry 2 give?
-223 meV/atom